This record from Alexandria describes a geometry-optimized ReO2F3 structure. The functional is PBEsol.

abc: 4.9636 5.6096 12.8969
angles: 99.96 90.00 90.00
Last column: nearest neighbours and their distance in Å.
Element x y z (fractional)
Re  0.7882  0.6777  0.3642  2 O 1.70, 2 F 1.85-1.86
Re  0.2882  0.3223  0.1358  2 O 1.70, 2 F 1.85-1.86
Re  0.7118  0.6777  0.8642  2 O 1.70, 2 F 1.85-1.86
Re  0.2118  0.3223  0.6358  2 O 1.70, 2 F 1.85-1.86
O  0.0674  0.8410  0.4061  1 Re 1.70
O  0.9326  0.1590  0.5939  1 Re 1.70
O  0.9196  0.7419  0.9699  1 Re 1.70
O  0.4326  0.8410  0.9061  1 Re 1.70
O  0.5804  0.7419  0.4699  1 Re 1.70
O  0.5674  0.1590  0.0939  1 Re 1.70
O  0.4196  0.2581  0.5301  1 Re 1.70
O  0.0804  0.2581  0.0301  1 Re 1.70
F  0.8530  0.8884  0.7829  1 Re 1.85
F  0.5132  0.5441  0.7196  2 Re 2.12-2.13
F  0.6470  0.8884  0.2829  1 Re 1.85
F  0.4023  0.6223  0.1106  1 Re 1.86
F  0.4868  0.4559  0.2804  2 Re 2.12-2.13
F  0.1470  0.1116  0.2171  1 Re 1.85
F  0.0132  0.4559  0.7804  2 Re 2.12-2.13
F  0.5977  0.3777  0.8894  1 Re 1.86
F  0.9868  0.5441  0.2196  2 Re 2.12-2.13
F  0.3530  0.1116  0.7171  1 Re 1.85
F  0.0977  0.6223  0.6106  1 Re 1.86
F  0.9023  0.3777  0.3894  1 Re 1.86

As for the uncorrected formation energy: -1.910 eV per atom. The symmetry is P2_1/c (14). The total energy comes out at -6.8452 eV/atom.

***

This record from Alexandria describes a geometry-optimized ReRuO2F structure. The functional is PBEsol.

abc: 3.7960 3.7960 4.3429
angles: 90.00 90.00 90.00
Last column: nearest neighbours and their distance in Å.
Element x y z (fractional)
Re  0.0000  0.0000  0.0000  4 O 1.90
F  0.0000  0.0000  0.5000  2 Re 2.17
O  0.0000  0.5000  0.0000  2 Re 1.90
O  0.5000  0.0000  0.0000  2 Re 1.90
Ru  0.5000  0.5000  0.5000  4 F 2.68, 8 O 2.88

As for the uncorrected formation energy: -0.125 eV per atom. The symmetry is P4/mmm (123). The total energy comes out at -7.3110 eV/atom.

***

This record from Alexandria describes a geometry-optimized ReSO2F structure. The functional is PBEsol.

abc: 3.8024 3.8024 4.2527
angles: 90.00 90.00 90.00
Last column: nearest neighbours and their distance in Å.
Element x y z (fractional)
Re  0.0000  0.0000  0.0000  4 O 1.90, 2 F 2.13
S  0.5000  0.5000  0.5000  4 F 2.69, 8 O 2.85
O  0.0000  0.5000  0.0000  2 Re 1.90
O  0.5000  0.0000  0.0000  2 Re 1.90
F  0.0000  0.0000  0.5000  2 Re 2.13

As for the uncorrected formation energy: -0.543 eV per atom. The symmetry is P4/mmm (123). The total energy comes out at -6.5718 eV/atom.

***

This record from Alexandria describes a geometry-optimized ReSbOF9 structure. The functional is PBEsol.

abc: 5.6403 10.1252 12.6486
angles: 90.00 99.45 90.00
Last column: nearest neighbours and their distance in Å.
Element x y z (fractional)
Re  0.3252  0.9810  0.2067  1 O 1.67, 3 F 1.85-1.86
Re  0.6748  0.4810  0.2933  1 O 1.67, 3 F 1.85-1.86
Re  0.6748  0.0190  0.7933  1 O 1.67, 3 F 1.85-1.86
Re  0.3252  0.5190  0.7067  1 O 1.67, 3 F 1.85-1.86
Sb  0.9877  0.7446  0.0039  6 F 1.87-2.09
Sb  0.0123  0.2446  0.4961  6 F 1.87-2.09
Sb  0.0123  0.2554  0.9961  6 F 1.87-2.09
Sb  0.9877  0.7554  0.5039  6 F 1.87-2.09
O  0.4929  0.8505  0.2513  1 Re 1.67
O  0.5071  0.3505  0.2487  1 Re 1.67
O  0.5071  0.1495  0.7487  1 Re 1.67
O  0.4929  0.6495  0.7513  1 Re 1.67
F  0.2026  0.9068  0.0589  1 Re 2.03, 1 Sb 2.09
F  0.7974  0.4068  0.4411  1 Re 2.03, 1 Sb 2.09
F  0.7974  0.0932  0.9411  1 Re 2.03, 1 Sb 2.09
F  0.2026  0.5932  0.5589  1 Re 2.03, 1 Sb 2.09
F  0.0224  0.9424  0.2396  1 Re 1.86
F  0.9776  0.4424  0.2604  1 Re 1.86
F  0.9776  0.0576  0.7604  1 Re 1.86
F  0.0224  0.5576  0.7396  1 Re 1.86
F  0.9113  0.8542  0.8739  1 Sb 1.97
F  0.0887  0.3542  0.6261  1 Sb 1.97
F  0.0887  0.1458  0.1261  1 Sb 1.97
F  0.9113  0.6458  0.3739  1 Sb 1.97
F  0.5381  0.0821  0.1423  1 Re 1.86
F  0.4619  0.5821  0.3577  1 Re 1.86
F  0.4619  0.9179  0.8577  1 Re 1.86
F  0.5381  0.4179  0.6423  1 Re 1.86
F  0.7407  0.8371  0.0548  1 Sb 1.88
F  0.2593  0.3371  0.4452  1 Sb 1.88
F  0.2593  0.1629  0.9452  1 Sb 1.88
F  0.7407  0.6629  0.5548  1 Sb 1.88
F  0.7939  0.6031  0.9474  1 Sb 1.87
F  0.2061  0.1031  0.5526  1 Sb 1.87
F  0.2061  0.3969  0.0526  1 Sb 1.87
F  0.7939  0.8969  0.4474  1 Sb 1.87
F  0.3770  0.0934  0.3231  1 Re 1.85
F  0.6230  0.5934  0.1769  1 Re 1.85
F  0.6230  0.9066  0.6769  1 Re 1.85
F  0.3770  0.4066  0.8231  1 Re 1.85
F  0.1036  0.6738  0.1399  1 Sb 1.88
F  0.8964  0.1738  0.3601  1 Sb 1.88
F  0.8964  0.3262  0.8601  1 Sb 1.88
F  0.1036  0.8262  0.6399  1 Sb 1.88
F  0.2575  0.6888  0.9471  1 Sb 1.87
F  0.7425  0.1888  0.5529  1 Sb 1.87
F  0.7425  0.3112  0.0529  1 Sb 1.87
F  0.2575  0.8112  0.4471  1 Sb 1.87

As for the uncorrected formation energy: -2.118 eV per atom. The symmetry is P2_1/c (14). The total energy comes out at -5.4922 eV/atom.